No. 1
DFT (PBE) results for an optimized crystal structure of La2Cr.

Unit cell a=7.9787 b=7.9787 c=4.9551 alpha=90.00 beta=90.00 gamma=120.00
Closest atoms and distances in Å follow each position.
Element x y z (fractional)
La 0.5891 0.0000 0.5000  5 Cr 3.28-3.46, 2 La 3.61
Cr 0.6667 0.3333 0.0000  3 La 3.00
Cr 0.3333 0.6667 0.0000  3 La 3.00
La 0.7402 0.7402 0.0000  4 Cr 3.00-3.23
Cr 0.0000 0.0000 0.5000  9 La 3.23-3.28
La 0.0000 0.2598 0.0000  4 Cr 3.00-3.23
La 0.2598 0.0000 0.0000  4 Cr 3.00-3.23
La 0.4109 0.4109 0.5000  5 Cr 3.28-3.46, 2 La 3.61
La 0.0000 0.5891 0.5000  5 Cr 3.28-3.46, 2 La 3.61

Summary:
calculated formation energy: 0.37 eV/atom
calculated volume: 273 Å³/cell

=====

No. 2
DFT (PBE) results for an optimized crystal structure of Li2CaMg.

Unit cell a=6.1825 b=6.1038 c=3.4348 alpha=77.97 beta=81.73 gamma=117.77
Closest atoms and distances in Å follow each position.
Element x y z (fractional)
Ca 0.5000 0.5000 0.0000  4 Li 3.17, 2 Mg 3.31, 2 Ca 3.43
Li 0.5000 0.0000 0.5000  2 Ca 3.17, 2 Mg 3.17, 4 Li 3.31-3.43
Mg 0.0000 0.5000 0.5000  4 Li 3.17, 2 Ca 3.31, 2 Mg 3.43
Li 0.0000 0.0000 0.0000  2 Mg 3.17, 2 Ca 3.17, 4 Li 3.31-3.43

Summary:
calculated formation energy: 0.07 eV/atom
calculated volume: 108 Å³/cell

=====

> Among the records above, which one has the lowest calculated formation energy?

Li2CaMg

=====

> Number 1 is which compound?

La2Cr

=====

> Among the records above, which one has the lowest calculated formation energy?

Li2CaMg